A relaxed structure of VGa2Co2. Source: Alexandria via LeMat-Bulk, functional PBE-GGA.

Geometry as extended XYZ:
```
10
Lattice="6.919 0.000 0.000 0.000 6.919 0.000 0.000 0.000 2.662" Properties=species:S:1:pos:R:3 pbc="T T T"
V 0.000 0.000 0.000
V 3.459 3.459 0.000
Ga 0.929 2.530 0.000
Ga 2.530 5.989 0.000
Ga 4.389 0.929 0.000
Ga 5.989 4.389 0.000
Co 1.144 4.604 1.331
Co 2.315 1.144 1.331
Co 4.604 5.774 1.331
Co 5.774 2.315 1.331
```

Summary:
Raw total energy: -5.9873 eV per atom
Energy above the most stable polymorph in this dataset: 0.00 kcal/mol of atoms
DFT formation energy: -0.110 eV per atom